# PBE-GGA ErPaMnS6, optimized geometry
# Raw formation energy in eV/atom: -1.158
data_ErPaMnS6
_cell_length_a 6.3410
_cell_length_b 6.3410
_cell_length_c 5.8772
_cell_angle_alpha 90.00
_cell_angle_beta 90.00
_cell_angle_gamma 120.00
_symmetry_space_group_name_H-M 'P 3 1 2'
_symmetry_Int_Tables_number 149
loop_
_symmetry_equiv_pos_as_xyz
'x,y,z'
'-y,x-y,z'
'-x+y,-x,z'
'-y,-x,-z'
'-x+y,y,-z'
'x,x-y,-z'
loop_
_atom_site_label
_atom_site_type_symbol
_atom_site_fract_x
_atom_site_fract_y
_atom_site_fract_z
_atom_site_occupancy
Er1 Er 0.0000 0.0000 0.0000 1
Pa1 Pa 0.3333 0.6667 0.5000 1
Mn1 Mn 0.6667 0.3333 0.0000 1
S1 S 0.3711 0.0262 0.7608 1